The following is a DFT calculation (GGA-PBE) of Ba6NiP2Br3 after structural relaxation.

Geometry as POSCAR:
```
Ba6NiP2Br3
1.0
8.0369 0.0241 -0.0161
-3.9956 6.9733 -0.0161
-1.3641 -2.3619 8.0516
Ba Ni P Br
6 1 2 3
Cartesian
4.0055 2.3410 6.3320
2.6779 4.6368 1.7470
-1.3283 2.2945 1.6874
0.0259 4.6393 6.3320
-0.0007 -0.0013 6.2724
2.6513 -0.0038 1.6874
0.0000 0.0000 0.0000
0.0305 4.6481 -0.0161
4.0108 2.3493 -0.0161
-2.5930 4.5884 4.0097
5.2701 0.0471 4.0097
1.3386 2.3178 4.0097
```

The crystal system is monoclinic. Its total moment is 1.02 μB/cell. For the final energy, the calculation gives -48.3 eV/cell. Its formation energy from raw total energies is -1466 kJ/mol of formula units.



The following is a DFT calculation (GGA-PBE) of ZrIrPt after structural relaxation.

Geometry as POSCAR:
```
ZrIrPt
1.0
4.4056 0.0000 0.0000
2.2028 3.8153 0.0000
2.2028 1.2718 3.5971
Ir Pt Zr
1 1 1
Cartesian
0.0000 0.0000 0.0000
4.4056 2.5436 1.7986
2.2028 1.2718 0.8993
```

The crystal system is cubic. Its total moment is 0.00 μB/cell. As for the polymorph energy (0 for the lowest one): 444 meV/atom. For the final energy, the calculation gives -24.5 eV/cell. The formation energy comes out at -0.36 eV/atom.



- Which of these has the lowest total moment?
  ZrIrPt



- Which formula does entry 1 have?
  Ba6NiP2Br3